(1)
Below is a relaxed structure of FeBiC3, with properties calculated at the PBE level.

```
data_FeBiC3
_chemical_formula_sum 'Fe1 Bi1 C3'
_space_group_name_H-M_alt 'P 1'
_space_group_IT_number 1
_space_group_name_Hall 'P 1'
_cell_length_a 4.4112
_cell_length_b 4.4112
_cell_length_c 4.4112
_cell_angle_alpha 90.00
_cell_angle_beta 90.00
_cell_angle_gamma 90.00
loop_
_atom_site_label
_atom_site_type_symbol
_atom_site_fract_x
_atom_site_fract_y
_atom_site_fract_z
Fe1 Fe 0.0000 0.0000 0.0000
Bi1 Bi 0.5000 0.5000 0.5000
C1 C 0.0000 0.5000 0.5000
C2 C 0.5000 0.0000 0.5000
C3 C 0.5000 0.5000 0.0000
```

Results
formation energy from the elements = 3.877 eV/atom
E above lowest polymorph = 1940.8 meV/atom
magnetic moment = 0.2005 μB per atom
energy = -4.126 eV per atom

***

(2)
Below is a relaxed structure of PmPaAgOs, with properties calculated at the PBE level.

```
data_PmPaAgOs
_chemical_formula_sum 'Pm1 Pa1 Ag1 Os1'
_space_group_name_H-M_alt 'P 1'
_space_group_IT_number 1
_space_group_name_Hall 'P 1'
_cell_length_a 5.0231
_cell_length_b 5.0231
_cell_length_c 5.0231
_cell_angle_alpha 60.00
_cell_angle_beta 60.00
_cell_angle_gamma 60.00
loop_
_atom_site_label
_atom_site_type_symbol
_atom_site_fract_x
_atom_site_fract_y
_atom_site_fract_z
Pm1 Pm 0.0000 0.0000 0.0000
Pa1 Pa 0.5000 0.5000 0.5000
Ag1 Ag 0.2500 0.2500 0.2500
Os1 Os 0.7500 0.7500 0.7500
```

Results
formation energy from the elements = 0.016 eV/atom
magnetic moment = 0.0000 μB per atom
energy = -7.066 eV per atom